# 1
Material: PPb2
Method: DFT, PBE
State: relaxed

ΔE to the lowest computed polymorph, eV per atom: 0.050
N(E_F), states/eV/atom: 0.35
Symmetry: C2/m
Calculated formation energy, meV per atom: 128

Cell and atoms, written as POSCAR:
```
PPb2
1.0
1.9458 6.7877 -0.1750
-1.9458 6.7877 -0.1750
0.0000 2.1495 6.3040
Pb P
4 2
Direct
0.6898 0.6898 0.2909 Pb
0.0371 0.0371 0.7428 Pb
0.3102 0.3102 0.7091 Pb
0.9629 0.9629 0.2572 Pb
0.3471 0.3471 0.1126 P
0.6529 0.6529 0.8874 P
```

# 2
Material: P2Pb
Method: DFT, PBE
State: relaxed

ΔE to the lowest computed polymorph, eV per atom: 0.687
N(E_F), states/eV/atom: 1.02
Symmetry: P6_3/mmc
Calculated formation energy, meV per atom: 720

Cell and atoms, written as POSCAR:
```
P2Pb
1.0
2.5025 -4.3345 0.0000
2.5025 4.3345 0.0000
0.0000 0.0000 5.7628
Pb P
2 4
Direct
0.6667 0.3333 0.7500 Pb
0.3333 0.6667 0.2500 Pb
0.0000 0.0000 0.5000 P
0.0000 0.0000 0.0000 P
0.6667 0.3333 0.2500 P
0.3333 0.6667 0.7500 P
```

# 3
Material: P2Pb
Method: DFT, PBE
State: relaxed

ΔE to the lowest computed polymorph, eV per atom: 0.167
N(E_F), states/eV/atom: 0.45
Symmetry: Pnnm
Calculated formation energy, meV per atom: 200

Cell and atoms, written as POSCAR:
```
P2Pb
1.0
4.2114 0.0000 0.0000
0.0000 5.3789 0.0000
0.0000 0.0000 6.9087
P Pb
4 2
Direct
0.5000 0.3491 0.0933 P
0.5000 0.6509 0.9067 P
0.0000 0.1509 0.5933 P
0.0000 0.8491 0.4067 P
0.0000 0.0000 0.0000 Pb
0.5000 0.5000 0.5000 Pb
```

# 4
Material: PPb2
Method: DFT, PBE
State: relaxed

ΔE to the lowest computed polymorph, eV per atom: 0.111
N(E_F), states/eV/atom: 0.37
Symmetry: I4_1/amd
Calculated formation energy, meV per atom: 189

Cell and atoms, written as POSCAR:
```
PPb2
1.0
-1.8369 1.8369 12.5573
1.8369 -1.8369 12.5573
1.8369 1.8369 -12.5573
Pb P
4 2
Direct
0.5630 0.5630 0.0000 Pb
0.4370 0.4370 0.0000 Pb
0.1870 0.6870 0.5000 Pb
0.3130 0.8130 0.5000 Pb
0.7500 0.2500 0.5000 P
0.0000 0.0000 0.0000 P
```

# 5
Material: PPb3
Method: DFT, PBE
State: relaxed

ΔE to the lowest computed polymorph, eV per atom: 0.218
N(E_F), states/eV/atom: 0.43
Symmetry: R-3m
Calculated formation energy, meV per atom: 323

Cell and atoms, written as POSCAR:
```
PPb3
1.0
3.2309 -5.2126 0.0836
3.2309 5.2126 0.0836
-5.2584 0.0000 3.1569
Pb P
3 1
Direct
0.0000 0.5000 0.5000 Pb
0.5000 0.0000 0.5000 Pb
0.5000 0.5000 0.0000 Pb
0.0000 0.0000 0.0000 P
```

# 6
Material: P2Pb
Method: DFT, PBE
State: relaxed

ΔE to the lowest computed polymorph, eV per atom: 0.063
N(E_F), states/eV/atom: 0.53
Symmetry: P-3m1
Calculated formation energy, meV per atom: 96

Cell and atoms, written as POSCAR:
```
P2Pb
1.0
-0.0245 -1.3659 3.0836
2.8521 1.2987 -1.2465
-1.5620 5.9460 2.6213
Pb P
1 2
Direct
0.0000 0.0000 0.0000 Pb
0.6667 0.3333 0.5913 P
0.3333 0.6667 0.4087 P
```

# 7
Material: P2Pb
Method: DFT, PBE
State: relaxed

ΔE to the lowest computed polymorph, eV per atom: 0.166
N(E_F), states/eV/atom: 0.35
Symmetry: I4/mcm
Calculated formation energy, meV per atom: 199

Cell and atoms, written as POSCAR:
```
P2Pb
1.0
-3.0367 3.0367 3.7805
3.0367 -3.0367 3.7805
3.0367 3.0367 -3.7805
P Pb
4 2
Direct
0.1196 0.3804 0.5000 P
0.3804 0.8804 0.2607 P
0.6196 0.1196 0.7393 P
0.8804 0.6196 0.5000 P
0.2500 0.2500 0.0000 Pb
0.7500 0.7500 0.0000 Pb
```

# 8
Material: P7Pb
Method: DFT, PBE
State: relaxed

ΔE to the lowest computed polymorph, eV per atom: 0.000
Symmetry: P2_1/c
Calculated formation energy, meV per atom: -5

Cell and atoms, written as POSCAR:
```
P7Pb
1.0
6.9118 0.0000 0.0000
0.0000 9.7890 0.0523
0.0000 6.8629 10.7356
P Pb
28 4
Direct
0.5856 0.9001 0.9125 P
0.4144 0.0999 0.0875 P
0.8767 0.9157 0.1372 P
0.0862 0.4495 0.5872 P
0.0717 0.7640 0.5975 P
0.6233 0.9157 0.6372 P
0.0856 0.0999 0.5875 P
0.0692 0.1392 0.2987 P
0.9003 0.5392 0.6793 P
0.0500 0.7961 0.3109 P
0.5692 0.8608 0.2013 P
0.9138 0.5505 0.4128 P
0.4138 0.4495 0.0872 P
0.5863 0.5505 0.9128 P
0.9308 0.8608 0.7013 P
0.3767 0.0843 0.3628 P
0.0997 0.4608 0.3207 P
0.9283 0.2360 0.4025 P
0.5717 0.2360 0.9025 P
0.5997 0.5392 0.1793 P
0.4283 0.7640 0.0975 P
0.9500 0.2039 0.6891 P
0.4003 0.4608 0.8207 P
0.1233 0.0843 0.8628 P
0.5500 0.2039 0.1891 P
0.4500 0.7961 0.8109 P
0.4308 0.1392 0.7987 P
0.9144 0.9001 0.4125 P
0.0177 0.2997 0.9396 Pb
0.4823 0.2997 0.4396 Pb
0.5177 0.7003 0.5604 Pb
0.9823 0.7003 0.0604 Pb
```

What did the fifth record say?
Material: PPb3
Method: DFT, PBE
State: relaxed

ΔE to the lowest computed polymorph, eV per atom: 0.218
N(E_F), states/eV/atom: 0.43
Symmetry: R-3m
Calculated formation energy, meV per atom: 323

Cell and atoms, written as POSCAR:
```
PPb3
1.0
3.2309 -5.2126 0.0836
3.2309 5.2126 0.0836
-5.2584 0.0000 3.1569
Pb P
3 1
Direct
0.0000 0.5000 0.5000 Pb
0.5000 0.0000 0.5000 Pb
0.5000 0.5000 0.0000 Pb
0.0000 0.0000 0.0000 P
```